Version P
Compound: MgBeCr3
Source: the Alexandria database
Functional: PBE
Structure: relaxed

Cell lengths 4.8197, 4.8197, 4.8197 Å; angles 90.00, 90.00, 90.00 degrees
Fractional coordinates of all 5 atoms:
Cr 0.0000 0.5000 0.0000
Cr 0.0000 0.0000 0.5000
Cr 0.5000 0.0000 0.0000
Be 0.5000 0.5000 0.5000
Mg 0.0000 0.0000 0.0000

Computed properties:
Its space-group type is Pm-3m (221). The value obtained for the density of states at the Fermi level is 0.971 states/eV/atom. As for the crystal system: cubic. For the calculated volume, the calculation gives 22.39 Å³ per atom. The magnetization is 12.29 μB/f.u.

---

Version Q
Compound: MgBeCr3
Source: the Alexandria database
Functional: PBE
Structure: relaxed

Cell lengths 4.0612, 4.0612, 4.0612 Å; angles 90.00, 90.00, 90.00 degrees
Fractional coordinates of all 5 atoms:
Cr 0.0000 0.5000 0.0000
Cr 0.0000 0.0000 0.5000
Mg 0.5000 0.5000 0.5000
Be 0.0000 0.0000 0.0000
Cr 0.5000 0.0000 0.0000

Computed properties:
Its space-group type is Pm-3m (221). The value obtained for the density of states at the Fermi level is 0.834 states/eV/atom. As for the crystal system: cubic. For the calculated volume, the calculation gives 13.40 Å³ per atom. The magnetization is 2.02 μB/f.u.

---

Which structure is most stable? version Q, by 110.1 kJ/mol of atoms over the runner-up.

---

Version P
Compound: MnBeCr
Source: the Alexandria database
Functional: PBE
Structure: relaxed

Cell lengths 3.8478, 5.4536, 5.4536 Å; angles 120.00, 90.00, 90.00 degrees
Fractional coordinates of all 9 atoms:
Cr 0.0000 0.5639 0.5639
Mn 0.5000 0.3333 0.6667
Be 0.5000 0.0000 0.7826
Mn 0.0000 0.0000 0.0000
Cr 0.0000 0.4361 0.0000
Cr 0.0000 0.0000 0.4361
Mn 0.5000 0.6667 0.3333
Be 0.5000 0.7826 0.0000
Be 0.5000 0.2174 0.2174

Computed properties:
Its space-group type is P-62m (189). The value obtained for the density of states at the Fermi level is 0.913 states/eV/atom. As for the crystal system: hexagonal. For the calculated volume, the calculation gives 11.01 Å³ per atom. The magnetization is 0.65 μB/f.u.

---

Version Q
Compound: MnBeCr
Source: the Alexandria database
Functional: PBE
Structure: relaxed

Cell lengths 4.3033, 4.3033, 4.3033 Å; angles 141.70, 141.70, 55.28 degrees
Fractional coordinates of all 3 atoms:
Mn 0.6687 0.6687 0.0000
Be 0.0026 0.0026 0.0000
Cr 0.3287 0.3287 0.0000

Computed properties:
Its space-group type is I4mm (107). The value obtained for the density of states at the Fermi level is 1.186 states/eV/atom. As for the crystal system: tetragonal. For the calculated volume, the calculation gives 10.13 Å³ per atom. The magnetization is 0.26 μB/f.u.

---

Version R
Compound: MnBeCr
Source: the Alexandria database
Functional: PBE
Structure: relaxed

Cell lengths 3.8549, 3.8549, 2.3688 Å; angles 90.00, 90.00, 120.00 degrees
Fractional coordinates of all 3 atoms:
Cr 0.6667 0.3333 0.3721
Mn 0.3333 0.6667 0.6365
Be 0.0000 0.0000 0.9914

Computed properties:
Its space-group type is P3m1 (156). The value obtained for the density of states at the Fermi level is 0.769 states/eV/atom. As for the crystal system: trigonal. For the calculated volume, the calculation gives 10.16 Å³ per atom. The magnetization is 0.00 μB/f.u.

---

Which structure is most stable? version R, by 1.3 kJ/mol of atoms over the runner-up.

---

Version P
Compound: MnBeCr
Source: the Alexandria database
Functional: PBE
Structure: relaxed

Cell lengths 4.1324, 4.1324, 4.1324 Å; angles 146.68, 126.76, 64.27 degrees
Fractional coordinates of all 3 atoms:
Mn 0.6606 0.6606 0.0000
Cr 0.3379 0.3379 0.0000
Be 0.0016 0.0016 0.0000

Computed properties:
Its space-group type is Imm2 (44). The value obtained for the density of states at the Fermi level is 0.936 states/eV/atom. As for the crystal system: orthorhombic. For the calculated volume, the calculation gives 10.24 Å³ per atom. The magnetization is 0.16 μB/f.u.

---

Version Q
Compound: MnBeCr
Source: the Alexandria database
Functional: PBE
Structure: relaxed

Cell lengths 5.4810, 5.4810, 5.4810 Å; angles 154.25, 154.25, 36.73 degrees
Fractional coordinates of all 3 atoms:
Be 0.0028 0.0028 0.0000
Cr 0.3433 0.3433 0.0000
Mn 0.6539 0.6539 0.0000

Computed properties:
Its space-group type is I4mm (107). The value obtained for the density of states at the Fermi level is 0.756 states/eV/atom. As for the crystal system: tetragonal. For the calculated volume, the calculation gives 10.34 Å³ per atom. The magnetization is 1.81 μB/f.u.

---

Version R
Compound: MnBeCr
Source: the Alexandria database
Functional: PBE
Structure: relaxed

Cell lengths 3.7607, 3.7607, 3.7607 Å; angles 60.00, 60.00, 60.00 degrees
Fractional coordinates of all 3 atoms:
Mn 0.7500 0.7500 0.7500
Be 0.0000 0.0000 0.0000
Cr 0.5000 0.5000 0.5000

Computed properties:
Its space-group type is F-43m (216). The value obtained for the density of states at the Fermi level is 1.044 states/eV/atom. As for the crystal system: cubic. For the calculated volume, the calculation gives 12.54 Å³ per atom. The magnetization is 0.56 μB/f.u.

---

Version S
Compound: MnBeCr
Source: the Alexandria database
Functional: PBE
Structure: relaxed

Cell lengths 6.0313, 5.8856, 2.3794 Å; angles 81.94, 75.06, 22.99 degrees
Fractional coordinates of all 3 atoms:
Cr 0.6644 0.6644 0.3356
Mn 0.3376 0.3376 0.6624
Be 0.9980 0.9980 0.0020

Computed properties:
Its space-group type is Fmm2 (42). The value obtained for the density of states at the Fermi level is 1.021 states/eV/atom. As for the crystal system: orthorhombic. For the calculated volume, the calculation gives 10.27 Å³ per atom. The magnetization is 0.00 μB/f.u.

---

Which structure is most stable? version P, by 3.6 kJ/mol of atoms over the runner-up.

---

Version P
Compound: Be3CrMo
Source: the Alexandria database
Functional: PBE
Structure: relaxed

Cell lengths 4.1112, 4.1112, 4.1112 Å; angles 90.00, 90.00, 90.00 degrees
Fractional coordinates of all 5 atoms:
Be 0.0000 0.0000 0.5000
Be 0.5000 0.0000 0.0000
Cr 0.5000 0.5000 0.5000
Be 0.0000 0.5000 0.0000
Mo 0.0000 0.0000 0.0000

Computed properties:
Its space-group type is Pm-3m (221). The value obtained for the density of states at the Fermi level is 1.811 states/eV/atom. As for the crystal system: cubic. For the calculated volume, the calculation gives 13.90 Å³ per atom. The magnetization is 0.00 μB/f.u.

---

Version Q
Compound: Be3CrMo
Source: the Alexandria database
Functional: PBE
Structure: relaxed

Cell lengths 3.8808, 3.8808, 3.8808 Å; angles 90.00, 90.00, 90.00 degrees
Fractional coordinates of all 5 atoms:
Cr 0.0000 0.0000 0.0000
Be 0.0000 0.0000 0.5000
Be 0.5000 0.0000 0.0000
Mo 0.5000 0.5000 0.5000
Be 0.0000 0.5000 0.0000

Computed properties:
Its space-group type is Pm-3m (221). The value obtained for the density of states at the Fermi level is 0.980 states/eV/atom. As for the crystal system: cubic. For the calculated volume, the calculation gives 11.69 Å³ per atom. The magnetization is 0.00 μB/f.u.

---

Which structure is most stable? version Q, by 47.5 kJ/mol of atoms over the runner-up.

---

Version P
Compound: Be4CrMo
Source: the Alexandria database
Functional: PBE
Structure: relaxed

Cell lengths 4.3379, 4.3379, 4.3379 Å; angles 60.00, 60.00, 60.00 degrees
Fractional coordinates of all 6 atoms:
Cr 0.2500 0.2500 0.2500
Be 0.6248 0.1256 0.6248
Be 0.6248 0.6248 0.1256
Mo 0.0000 0.0000 0.0000
Be 0.6248 0.6248 0.6248
Be 0.1256 0.6248 0.6248

Computed properties:
Its space-group type is F-43m (216). The value obtained for the density of states at the Fermi level is 0.263 states/eV/atom. As for the crystal system: cubic. For the calculated volume, the calculation gives 9.62 Å³ per atom. The magnetization is 0.00 μB/f.u.

---

Version Q
Compound: Be4CrMo
Source: the Alexandria database
Functional: PBE
Structure: relaxed

Cell lengths 4.3450, 4.3450, 7.0970 Å; angles 90.00, 90.00, 120.00 degrees
Fractional coordinates of all 12 atoms:
Be 0.0000 0.0000 0.0000
Be 0.8300 0.1700 0.2590
Be 0.0000 0.0000 0.5000
Be 0.3399 0.1700 0.2590
Be 0.8300 0.6601 0.2590
Be 0.6601 0.8300 0.7410
Cr 0.6667 0.3333 0.5606
Mo 0.3333 0.6667 0.0666
Cr 0.3333 0.6667 0.4394
Be 0.1700 0.3399 0.7410
Mo 0.6667 0.3333 0.9334
Be 0.1700 0.8300 0.7410

Computed properties:
Its space-group type is P-3m1 (164). The value obtained for the density of states at the Fermi level is 0.475 states/eV/atom. As for the crystal system: trigonal. For the calculated volume, the calculation gives 9.67 Å³ per atom. The magnetization is 0.00 μB/f.u.

---

Which structure is most stable? version P, by 0.5 kJ/mol of atoms over the runner-up.

---

Version P
Compound: BeCrMo3
Source: the Alexandria database
Functional: PBE
Structure: relaxed

Cell lengths 4.1910, 4.1910, 4.1910 Å; angles 90.00, 90.00, 90.00 degrees
Fractional coordinates of all 5 atoms:
Be 0.0000 0.0000 0.0000
Cr 0.5000 0.5000 0.5000
Mo 0.5000 0.0000 0.0000
Mo 0.0000 0.5000 0.0000
Mo 0.0000 0.0000 0.5000

Computed properties:
Its space-group type is Pm-3m (221). The value obtained for the density of states at the Fermi level is 1.543 states/eV/atom. As for the crystal system: cubic. For the calculated volume, the calculation gives 14.72 Å³ per atom. The magnetization is 0.00 μB/f.u.

---

Version Q
Compound: BeCrMo3
Source: the Alexandria database
Functional: PBE
Structure: relaxed

Cell lengths 4.4424, 4.4424, 4.4424 Å; angles 90.00, 90.00, 90.00 degrees
Fractional coordinates of all 5 atoms:
Cr 0.0000 0.0000 0.0000
Mo 0.0000 0.0000 0.5000
Mo 0.0000 0.5000 0.0000
Mo 0.5000 0.0000 0.0000
Be 0.5000 0.5000 0.5000

Computed properties:
Its space-group type is Pm-3m (221). The value obtained for the density of states at the Fermi level is 1.304 states/eV/atom. As for the crystal system: cubic. For the calculated volume, the calculation gives 17.53 Å³ per atom. The magnetization is 0.00 μB/f.u.

---

Which structure is most stable? version P, by 48.6 kJ/mol of atoms over the runner-up.